12
Lattice="5.384 -1.696 0.000 5.384 1.696 0.000 0.000 0.000 8.827" Properties=species:S:1:pos:R:3 comment="NaLuCoO3, relaxed, DFT PBE+U" sg=Cmcm e_tot_ev_per_atom=-6.363 volume_a3_per_atom=13.433 crystal_system=orthorhombic pbc="T T T"
Co 6.137 0.000 6.620
Co 4.631 0.000 2.207
O 6.739 0.000 8.399
O 10.323 0.000 6.620
O 6.739 0.000 4.841
O 4.029 0.000 3.986
O 4.029 0.000 0.428
O 0.445 0.000 2.207
Lu 0.000 0.000 0.000
Lu 0.000 0.000 4.413
Na 7.572 0.000 2.207
Na 3.197 0.000 6.620